# 1
An optimized crystal structure of NdLuNiOs. Source: Alexandria, functional PBE.

- Crystal system: cubic
- Energy of formation from the pure elements: -0.8 eV/f.u.
- Magnetic moment: 0.00 Bohr magnetons per cell
- Energy: -6.78 eV per atom

abc: 4.837 4.837 4.837
angles: 60.00 60.00 60.00
Element x y z (fractional)
Nd 0.500 0.500 0.500
Lu 0.000 0.000 0.000
Os 0.750 0.750 0.750
Ni 0.250 0.250 0.250

***

# 2
An optimized crystal structure of NdLuNiRh. Source: Alexandria, functional PBE.

- Crystal system: cubic
- Energy of formation from the pure elements: -2.2 eV/f.u.
- Magnetic moment: 0.00 Bohr magnetons per cell
- Energy: -6.16 eV per atom

abc: 4.860 4.860 4.860
angles: 60.00 60.00 60.00
Element x y z (fractional)
Rh 0.750 0.750 0.750
Lu 0.000 0.000 0.000
Nd 0.500 0.500 0.500
Ni 0.250 0.250 0.250

***

# 3
An optimized crystal structure of NdLuTlNi. Source: Alexandria, functional PBE.

- Crystal system: cubic
- Energy of formation from the pure elements: -0.8 eV/f.u.
- Magnetic moment: 0.00 Bohr magnetons per cell
- Energy: -4.57 eV per atom

abc: 5.153 5.153 5.153
angles: 60.00 60.00 60.00
Element x y z (fractional)
Ni 0.250 0.250 0.250
Tl 0.750 0.750 0.750
Lu 0.000 0.000 0.000
Nd 0.500 0.500 0.500

***

# 4
An optimized crystal structure of Nd3LuO. Source: Alexandria, functional PBE.

- Crystal system: cubic
- Formation energy (no corrections): -1.110 eV per atom
- Magnetic moment: 0.00 Bohr magnetons per cell
- Energy: -5.87 eV per atom

abc: 5.076 5.076 5.076
angles: 90.00 90.00 90.00
Element x y z (fractional)
Lu 0.500 0.500 0.500
Nd 0.000 0.500 0.000
Nd 0.000 0.000 0.500
Nd 0.500 0.000 0.000
O 0.000 0.000 0.000

***

# 5
An optimized crystal structure of NdLuO3. Source: Alexandria, functional PBE.

- Crystal system: orthorhombic
- Formation energy (no corrections): -3.512 eV per atom
- Magnetic moment: 0.00 Bohr magnetons per cell
- Energy: -8.35 eV per atom

abc: 5.741 5.982 8.357
angles: 90.00 90.00 90.00
Element x y z (fractional)
Nd 0.019 0.446 0.250
Nd 0.981 0.554 0.750
Nd 0.519 0.054 0.750
Nd 0.481 0.946 0.250
Lu 0.000 0.000 0.000
Lu 0.500 0.500 0.000
Lu 0.000 0.000 0.500
Lu 0.500 0.500 0.500
O 0.306 0.196 0.069
O 0.694 0.804 0.931
O 0.806 0.304 0.931
O 0.694 0.804 0.569
O 0.194 0.696 0.069
O 0.306 0.196 0.431
O 0.194 0.696 0.431
O 0.806 0.304 0.569
O 0.629 0.557 0.250
O 0.371 0.443 0.750
O 0.129 0.943 0.750
O 0.871 0.057 0.250

***

# 6
An optimized crystal structure of NdLu2Os. Source: Alexandria, functional PBE.

- Crystal system: tetragonal
- Energy of formation from the pure elements: -0.9 eV/f.u.
- Magnetic moment: 0.00 Bohr magnetons per cell
- Energy: -6.48 eV per atom

abc: 3.378 3.378 9.054
angles: 90.00 90.00 90.00
Element x y z (fractional)
Nd 0.500 0.500 0.500
Lu 0.000 0.000 0.823
Lu 0.000 0.000 0.177
Os 0.500 0.500 0.000

***

# 7
An optimized crystal structure of NdLuOs4. Source: Alexandria, functional PBE.

- Crystal system: cubic
- Energy of formation from the pure elements: -1.1 eV/f.u.
- Magnetic moment: 0.00 Bohr magnetons per cell
- Energy: -9.22 eV per atom

abc: 5.378 5.378 5.378
angles: 60.00 60.00 60.00
Element x y z (fractional)
Nd 0.250 0.250 0.250
Lu 0.000 0.000 0.000
Os 0.625 0.625 0.124
Os 0.625 0.124 0.625
Os 0.625 0.625 0.625
Os 0.124 0.625 0.625

***

# 8
An optimized crystal structure of NdLuOsPt. Source: Alexandria, functional PBE.

- Crystal system: cubic
- Energy of formation from the pure elements: -2.2 eV/f.u.
- Magnetic moment: 0.00 Bohr magnetons per cell
- Energy: -7.20 eV per atom

abc: 4.910 4.910 4.910
angles: 60.00 60.00 60.00
Element x y z (fractional)
Nd 0.000 0.000 0.000
Lu 0.500 0.500 0.500
Os 0.250 0.250 0.250
Pt 0.750 0.750 0.750

***

# 9
An optimized crystal structure of NdLu2Pa. Source: Alexandria, functional PBE.

- Crystal system: tetragonal
- Energy of formation from the pure elements: 0.5 eV/f.u.
- Magnetic moment: 0.32 Bohr magnetons per cell
- Energy: -5.71 eV per atom

abc: 3.432 3.432 9.948
angles: 90.00 90.00 90.00
Element x y z (fractional)
Nd 0.500 0.500 0.500
Pa 0.500 0.500 0.000
Lu 0.000 0.000 0.770
Lu 0.000 0.000 0.230

***

# 10
An optimized crystal structure of NdLu2Pa. Source: Alexandria, functional PBE.

- Crystal system: trigonal
- Energy of formation from the pure elements: 1.2 eV/f.u.
- Magnetic moment: 0.00 Bohr magnetons per cell
- Energy: -5.53 eV per atom

abc: 3.314 3.314 12.364
angles: 82.30 82.30 60.00
Element x y z (fractional)
Nd 0.500 0.500 0.500
Pa 0.000 0.000 0.000
Lu 0.087 0.087 0.740
Lu 0.913 0.913 0.260

***

# 11
An optimized crystal structure of NdLuPa. Source: Alexandria, functional PBE.

- Crystal system: trigonal
- Energy of formation from the pure elements: 0.4 eV/f.u.
- Magnetic moment: 0.00 Bohr magnetons per cell
- Energy: -6.12 eV per atom

abc: 3.427 3.427 8.603
angles: 90.00 90.00 120.00
Element x y z (fractional)
Pa 0.000 0.000 0.005
Nd 0.333 0.667 0.678
Lu 0.667 0.333 0.317

***

# 12
An optimized crystal structure of NdLuPa. Source: Alexandria, functional PBE.

- Crystal system: tetragonal
- Energy of formation from the pure elements: 0.5 eV/f.u.
- Magnetic moment: 0.01 Bohr magnetons per cell
- Energy: -6.09 eV per atom

abc: 3.405 3.405 8.003
angles: 102.28 102.28 90.00
Element x y z (fractional)
Pa 0.330 0.330 0.661
Nd 0.991 0.991 0.982
Lu 0.679 0.679 0.357

***

# 13
An optimized crystal structure of NdLuThPa. Source: Alexandria, functional PBE.

- Crystal system: cubic
- Energy of formation from the pure elements: 1.4 eV/f.u.
- Magnetic moment: 0.02 Bohr magnetons per cell
- Energy: -6.20 eV per atom

abc: 5.551 5.551 5.551
angles: 60.00 60.00 60.00
Element x y z (fractional)
Pa 0.000 0.000 0.000
Nd 0.250 0.250 0.250
Lu 0.500 0.500 0.500
Th 0.750 0.750 0.750

***

# 14
An optimized crystal structure of Nd2LuPb. Source: Alexandria, functional PBE.

- Crystal system: cubic
- Energy of formation from the pure elements: -0.6 eV/f.u.
- Magnetic moment: 0.00 Bohr magnetons per cell
- Energy: -4.59 eV per atom

abc: 5.578 5.578 5.578
angles: 60.00 60.00 60.00
Element x y z (fractional)
Pb 0.000 0.000 0.000
Lu 0.500 0.500 0.500
Nd 0.250 0.250 0.250
Nd 0.750 0.750 0.750

***

# 15
An optimized crystal structure of Nd2LuPb. Source: Alexandria, functional PBE.

- Crystal system: tetragonal
- Energy of formation from the pure elements: -1.2 eV/f.u.
- Magnetic moment: 0.00 Bohr magnetons per cell
- Energy: -4.73 eV per atom

abc: 4.976 4.910 4.910
angles: 90.00 90.00 90.00
Element x y z (fractional)
Pb 0.500 0.000 0.000
Lu 0.500 0.500 0.500
Nd 0.000 0.000 0.500
Nd 0.000 0.500 0.000